1.
# Mg2ZrBe

A relaxed Mg2ZrBe crystal (PBE-GGA, the Alexandria database).

CIF file:
```
data_Mg2ZrBe
_symmetry_space_group_name_H-M 'I m m 2'
_symmetry_Int_Tables_number 44
_symmetry_space_group_name_Hall 'I 2 -2'
_cell_length_a 3.099
_cell_length_b 4.851
_cell_length_c 10.191
_cell_angle_alpha 90.00
_cell_angle_beta 90.00
_cell_angle_gamma 90.00
loop_
_atom_site_label
_atom_site_type_symbol
_atom_site_fract_x
_atom_site_fract_y
_atom_site_fract_z
Mg1 Mg 0.000 0.000 0.000
Mg2 Mg 0.000 0.500 0.205
Zr1 Zr 0.000 0.500 0.787
Be1 Be 0.000 0.000 0.502
```

Output
The formation enthalpy at 0 K is 0.285 eV/atom. As for the density of states at the Fermi level: 2.9 states/eV/f.u.

---

2.
# Mn3Ag2I8

A relaxed Mn3Ag2I8 crystal (PBE-GGA, the Alexandria database).

CIF file:
```
data_Mn3Ag2I8
_symmetry_space_group_name_H-M 'C 1 2/m 1'
_symmetry_Int_Tables_number 12
_symmetry_space_group_name_Hall '-C 2y'
_cell_length_a 14.866
_cell_length_b 8.665
_cell_length_c 7.438
_cell_angle_alpha 90.00
_cell_angle_beta 109.82
_cell_angle_gamma 90.00
loop_
_atom_site_label
_atom_site_type_symbol
_atom_site_fract_x
_atom_site_fract_y
_atom_site_fract_z
Mn1 Mn 0.000 0.000 0.000
Mn2 Mn 0.000 0.258 0.500
Ag1 Ag 0.162 0.500 0.109
I1 I 0.115 0.227 0.261
I2 I 0.118 0.000 0.750
I3 I 0.123 0.500 0.712
```

Output
The energy relative to the elements, uncorrected is -33 kJ/mol of atoms.

---

3.
# CsCa3Si

A relaxed CsCa3Si crystal (PBE-GGA, the Alexandria database).

CIF file:
```
data_CsCa3Si
_symmetry_space_group_name_H-M 'P m -3 m'
_symmetry_Int_Tables_number 221
_symmetry_space_group_name_Hall '-P 4 2 3'
_cell_length_a 5.975
_cell_length_b 5.975
_cell_length_c 5.975
_cell_angle_alpha 90.00
_cell_angle_beta 90.00
_cell_angle_gamma 90.00
loop_
_atom_site_label
_atom_site_type_symbol
_atom_site_fract_x
_atom_site_fract_y
_atom_site_fract_z
Cs1 Cs 0.000 0.000 0.000
Ca1 Ca 0.000 0.500 0.500
Si1 Si 0.500 0.500 0.500
```

Output
The energy relative to the elements, uncorrected is -1 kJ/mol of atoms. The energy relative to the lowest polymorph listed for this composition comes out at 0 meV per atom. As for the density of states at the Fermi level: 4.5 states/eV/f.u.

---

4.
# NbCrSiRu

A relaxed NbCrSiRu crystal (PBE-GGA, the Alexandria database).

CIF file:
```
data_NbCrSiRu
_symmetry_space_group_name_H-M 'F -4 3 m'
_symmetry_Int_Tables_number 216
_symmetry_space_group_name_Hall 'F -4 2 3'
_cell_length_a 6.071
_cell_length_b 6.071
_cell_length_c 6.071
_cell_angle_alpha 90.00
_cell_angle_beta 90.00
_cell_angle_gamma 90.00
loop_
_atom_site_label
_atom_site_type_symbol
_atom_site_fract_x
_atom_site_fract_y
_atom_site_fract_z
Nb1 Nb 0.000 0.000 0.000
Cr1 Cr 0.250 0.250 0.250
Si1 Si 0.000 0.000 0.500
Ru1 Ru 0.250 0.250 0.750
```

Output
The energy relative to the elements, uncorrected is -30 kJ/mol of atoms. As for the density of states at the Fermi level: 4.4 states/eV/f.u.

---

5.
# La2CdI2

A relaxed La2CdI2 crystal (PBE-GGA, the Alexandria database).

CIF file:
```
data_La2CdI2
_symmetry_space_group_name_H-M 'I 4/m m m'
_symmetry_Int_Tables_number 139
_symmetry_space_group_name_Hall '-I 4 2'
_cell_length_a 5.075
_cell_length_b 5.075
_cell_length_c 14.461
_cell_angle_alpha 90.00
_cell_angle_beta 90.00
_cell_angle_gamma 90.00
loop_
_atom_site_label
_atom_site_type_symbol
_atom_site_fract_x
_atom_site_fract_y
_atom_site_fract_z
La1 La 0.000 0.000 0.104
Cd1 Cd 0.000 0.000 0.500
I1 I 0.000 0.500 0.250
```

Output
The energy relative to the elements, uncorrected is -49 kJ/mol of atoms. The energy relative to the lowest polymorph listed for this composition comes out at 181 meV per atom. As for the density of states at the Fermi level: 5.4 states/eV/f.u.

---

6.
# Ce2HoPb3

A relaxed Ce2HoPb3 crystal (PBE-GGA, the Alexandria database).

CIF file:
```
data_Ce2HoPb3
_symmetry_space_group_name_H-M 'P m m n'
_symmetry_Int_Tables_number 59
_cell_length_a 5.083
_cell_length_b 15.248
_cell_length_c 4.510
_cell_angle_alpha 90.00
_cell_angle_beta 90.00
_cell_angle_gamma 90.00
loop_
_symmetry_equiv_pos_as_xyz
'x,y,z'
'-x,-y,-z'
'-x+1/2,-y+1/2,z'
'x+1/2,y+1/2,-z'
'x+1/2,-y,-z'
'-x+1/2,y,z'
'-x,y+1/2,-z'
'x,-y+1/2,z'
loop_
_atom_site_label
_atom_site_type_symbol
_atom_site_fract_x
_atom_site_fract_y
_atom_site_fract_z
Ce1 Ce 0.250 0.083 0.000
Ho1 Ho 0.250 0.750 0.001
Pb1 Pb 0.250 0.250 0.499
Pb2 Pb 0.250 0.588 0.500
```

Output
The energy relative to the lowest polymorph listed for this composition comes out at 0 meV per atom. The formation enthalpy at 0 K is -0.403 eV/atom. As for the density of states at the Fermi level: 14.9 states/eV/f.u.

---

7.
# NdAlSn2

A relaxed NdAlSn2 crystal (PBE-GGA, the Alexandria database).

CIF file:
```
data_NdAlSn2
_symmetry_space_group_name_H-M 'P 4/m m m'
_symmetry_Int_Tables_number 123
_symmetry_space_group_name_Hall '-P 4 2'
_cell_length_a 3.858
_cell_length_b 3.858
_cell_length_c 6.800
_cell_angle_alpha 90.00
_cell_angle_beta 90.00
_cell_angle_gamma 90.00
loop_
_atom_site_label
_atom_site_type_symbol
_atom_site_fract_x
_atom_site_fract_y
_atom_site_fract_z
Nd1 Nd 0.000 0.000 0.000
Al1 Al 0.000 0.000 0.500
Sn1 Sn 0.500 0.500 0.286
```

Output
The formation enthalpy at 0 K is -0.321 eV/atom. As for the density of states at the Fermi level: 3.0 states/eV/f.u.

---

8.
# Cs3K3CoCl8

A relaxed Cs3K3CoCl8 crystal (PBE-GGA, the Alexandria database).

CIF file:
```
data_Cs3K3CoCl8
_symmetry_space_group_name_H-M 'R -3 m'
_symmetry_Int_Tables_number 166
_symmetry_space_group_name_Hall '-R 3 2"'
_cell_length_a 9.0648
_cell_length_b 9.0648
_cell_length_c 23.5792
_cell_angle_alpha 90.00
_cell_angle_beta 90.00
_cell_angle_gamma 120.00
loop_
_atom_site_label
_atom_site_type_symbol
_atom_site_fract_x
_atom_site_fract_y
_atom_site_fract_z
Cs1 Cs 0.0000 0.5000 0.0000
K1 K 0.0000 0.5000 0.5000
Co1 Co 0.0000 0.0000 0.5000
Cl1 Cl 0.0000 0.0000 0.2401
Cl2 Cl 0.0660 0.5330 0.2268
```

Output
The energy relative to the elements, uncorrected is -159 kJ/mol of atoms. As for the density of states at the Fermi level: 0.2 states/eV/f.u.

---

no.,volume (Å³ per cell),total magnetic moment (μB/f.u.)
1,153.2,0.00
2,901.4,15.00
3,213.4,0.92
4,223.7,1.01
5,372.4,0.00
6,349.6,2.88
7,101.2,0.00
8,1677.8,3.00